4
Lattice="4.425 0.000 0.000 0.000 5.141 0.000 0.000 0.000 5.691" Properties=species:S:1:pos:R:3 comment="Ca2LaCr (PBE, optimized geometry)" m_tot_mub_per_fu=4.44 sg=Pmmm relative_energy_mev_per_atom=119.3 e_form_ev_per_atom=0.41 pbc="T T T"
Ca 0.000 0.000 0.000
Ca 2.212 2.571 0.000
La 0.000 2.571 2.846
Cr 2.212 0.000 2.846